[1]
HfSeN2Cl: relaxed, PBE.

Lattice parameters (Å, degrees): 4.0669 4.0669 5.8337 90.00 90.00 90.00
Closest atoms and distances in Å follow each position.
Space group P4/mmm (No. 123)
Inequivalent atoms, fractional coordinates:
Hf  0.0000  0.0000  0.0000 (multiplicity 1)  4 N 2.03
Se  0.0000  0.0000  0.5000 (multiplicity 1)  4 Cl 2.88, 2 Hf 2.92
N  0.0000  0.5000  0.0000 (multiplicity 2)  2 Hf 2.03
Cl  0.5000  0.5000  0.5000 (multiplicity 1)  4 Se 2.88

As for the energy relative to the lowest polymorph listed for this composition: 0.000 eV/atom. The total energy comes out at -29.71 eV/cell. The calculation puts the total magnetization at 0.00 μB per cell.

***

[2]
Hf2SeNCl: relaxed, PBE.

Lattice parameters (Å, degrees): 4.4267 4.4267 4.6473 90.00 90.00 90.00
Closest atoms and distances in Å follow each position.
Space group P4/mmm (No. 123)
Inequivalent atoms, fractional coordinates:
Hf  0.0000  0.5000  0.0000 (multiplicity 2)  2 N 2.21
Se  0.0000  0.0000  0.5000 (multiplicity 1)  2 N 2.32
N  0.0000  0.0000  0.0000 (multiplicity 1)  4 Hf 2.21, 2 Se 2.32
Cl  0.5000  0.5000  0.5000 (multiplicity 1)  4 Se 3.13, 8 Hf 3.21

The total energy comes out at -34.45 eV/cell. The calculation puts the total magnetization at 0.00 μB per cell.

***

Please write out number 2 again, unchanged.
Hf2SeNCl: relaxed, PBE.

Lattice parameters (Å, degrees): 4.4267 4.4267 4.6473 90.00 90.00 90.00
Closest atoms and distances in Å follow each position.
Space group P4/mmm (No. 123)
Inequivalent atoms, fractional coordinates:
Hf  0.0000  0.5000  0.0000 (multiplicity 2)  2 N 2.21
Se  0.0000  0.0000  0.5000 (multiplicity 1)  2 N 2.32
N  0.0000  0.0000  0.0000 (multiplicity 1)  4 Hf 2.21, 2 Se 2.32
Cl  0.5000  0.5000  0.5000 (multiplicity 1)  4 Se 3.13, 8 Hf 3.21

The total energy comes out at -34.45 eV/cell. The calculation puts the total magnetization at 0.00 μB per cell.